Compound: AsPIr
Source: Alexandria
Functional: PBEsol
Structure: optimized geometry

Lattice parameters (Å, degrees): 3.387 3.387 4.931 90.00 90.00 120.00
Sites, in units of the cell vectors:
As 0.000 0.000 0.977
Ir 0.333 0.667 0.640
P 0.667 0.333 0.383

Properties
excess energy over the best structure of this formula in the dataset = 0 meV per atom
symmetry = P3m1 (156)
DOS at the Fermi energy = 1.64 states/eV per cell
calculated total energy = -7.0165 eV/atom
total magnetic moment = 0.00 μB per formula unit
energy relative to the elements = -0.109 eV per atom